# Mn2NbCrO6 GGA+U relaxed
data_Mn2NbCrO6
_cell_length_a 5.3341
_cell_length_b 5.3341
_cell_length_c 13.9882
_cell_angle_alpha 90.00
_cell_angle_beta 90.00
_cell_angle_gamma 120.00
_symmetry_space_group_name_H-M 'R 3'
_symmetry_Int_Tables_number 146
_symmetry_space_group_name_Hall 'R 3'
loop_
_atom_site_label
_atom_site_type_symbol
_atom_site_fract_x
_atom_site_fract_y
_atom_site_fract_z
Mn1 Mn 0.0000 0.0000 0.0000
Mn2 Mn 0.0000 0.0000 0.4912
Nb1 Nb 0.0000 0.0000 0.2151
Cr1 Cr 0.0000 0.0000 0.7124
O1 O 0.0552 0.3428 0.2874
O2 O 0.0572 0.7103 0.7870
# Total moment   13.0 μB per formula unit
# Volume   344.7 Å³ per cell
# Raw total energy   -82.72 eV/f.u.